The following is a GGA-PBEsol calculation of a geometry-optimized CaHf3Mn structure, from Alexandria.

Unit cell a=4.8844 b=4.8844 c=4.8844 alpha=90.00 beta=90.00 gamma=90.00
With the nearest neighbours (Å) after each atom.
Positions (direct):
Ca  0.0000  0.0000  0.0000  6 Hf 2.44
Hf  0.0000  0.0000  0.5000  2 Ca 2.44
Hf  0.0000  0.5000  0.0000  2 Ca 2.44
Hf  0.5000  0.0000  0.0000  2 Ca 2.44
Mn  0.5000  0.5000  0.5000  12 Hf 3.45

Computed properties:
Magnetization in μB per cell: 3.09
DFT formation energy in meV per atom: 2030.4
Calculated volume in A^3/atom: 23.305

---

The following is a GGA-PBEsol calculation of a geometry-optimized Ca2HfMnPd structure, from Alexandria.

Unit cell a=5.0937 b=5.0937 c=4.6416 alpha=90.00 beta=90.00 gamma=90.00
With the nearest neighbours (Å) after each atom.
Positions (direct):
Ca  0.0000  0.5000  0.0000  2 Mn 2.55
Ca  0.5000  0.0000  0.0000  2 Mn 2.55
Hf  0.0000  0.0000  0.5000  2 Mn 2.32
Mn  0.0000  0.0000  0.0000  2 Hf 2.32, 4 Ca 2.55
Pd  0.5000  0.5000  0.5000  8 Ca 3.45, 4 Hf 3.60

Computed properties:
Magnetization in μB per cell: 1.44
DFT formation energy in meV per atom: 630.1
Calculated volume in A^3/atom: 24.086

---

The following is a GGA-PBEsol calculation of a geometry-optimized CaHfN2 structure, from Alexandria.

Unit cell a=5.8566 b=5.8566 c=5.8566 alpha=32.27 beta=32.27 gamma=32.27
With the nearest neighbours (Å) after each atom.
Positions (direct):
Ca  0.0000  0.0000  0.0000  6 N 2.46
Hf  0.5000  0.5000  0.5000  6 N 2.22
N  0.2376  0.2376  0.2376  3 Hf 2.22, 3 Ca 2.46
N  0.7624  0.7624  0.7624  3 Hf 2.22, 3 Ca 2.46

Computed properties:
Magnetization in μB per cell: 0.00
Calculated volume in A^3/atom: 12.727
Formation energy without anion corrections in eV/f.u.: -7.075

---

The following is a GGA-PBEsol calculation of a geometry-optimized CaHf3N structure, from Alexandria.

Unit cell a=4.8296 b=4.8296 c=4.8296 alpha=90.00 beta=90.00 gamma=90.00
With the nearest neighbours (Å) after each atom.
Positions (direct):
Ca  0.0000  0.0000  0.0000  6 Hf 2.41
Hf  0.0000  0.0000  0.5000  2 Ca 2.41
Hf  0.0000  0.5000  0.0000  2 Ca 2.41
Hf  0.5000  0.0000  0.0000  2 Ca 2.41
N  0.5000  0.5000  0.5000  12 Hf 3.42

Computed properties:
Magnetization in μB per cell: 0.00
Calculated volume in A^3/atom: 22.530
Formation energy without anion corrections in eV/f.u.: 14.130

---

The following is a GGA-PBEsol calculation of a geometry-optimized CaHfSe2N structure, from Alexandria.

Unit cell a=5.1719 b=5.1719 c=3.9759 alpha=90.00 beta=90.00 gamma=90.00
With the nearest neighbours (Å) after each atom.
Positions (direct):
Ca  0.0000  0.0000  0.0000  2 N 1.99
Hf  0.5000  0.5000  0.5000  8 Se 3.26
Se  0.0000  0.5000  0.0000  2 Ca 2.59
Se  0.5000  0.0000  0.0000  2 Ca 2.59
N  0.0000  0.0000  0.5000  2 Ca 1.99

Computed properties:
Magnetization in μB per cell: 0.62
Calculated volume in A^3/atom: 21.270
Formation energy without anion corrections in eV/f.u.: 2.615

---

The following is a GGA-PBEsol calculation of a geometry-optimized NaCaHf3 structure, from Alexandria.

Unit cell a=5.0767 b=5.0767 c=5.0767 alpha=90.00 beta=90.00 gamma=90.00
With the nearest neighbours (Å) after each atom.
Positions (direct):
Na  0.0000  0.0000  0.0000  6 Hf 2.54
Ca  0.5000  0.5000  0.5000  12 Hf 3.59
Hf  0.0000  0.0000  0.5000  2 Na 2.54
Hf  0.0000  0.5000  0.0000  2 Na 2.54
Hf  0.5000  0.0000  0.0000  2 Na 2.54

Computed properties:
Magnetization in μB per cell: 0.00
DFT formation energy in meV per atom: 1499.4
Calculated volume in A^3/atom: 26.169

---

The following is a GGA-PBEsol calculation of a geometry-optimized NaCa2Hf structure, from Alexandria.

Unit cell a=5.5937 b=5.5937 c=5.5937 alpha=60.00 beta=60.00 gamma=60.00
With the nearest neighbours (Å) after each atom.
Positions (direct):
Na  0.0000  0.0000  0.0000  8 Ca 3.43
Ca  0.2500  0.2500  0.2500  4 Hf 3.43, 4 Na 3.43
Ca  0.7500  0.7500  0.7500  4 Hf 3.43, 4 Na 3.43
Hf  0.5000  0.5000  0.5000  8 Ca 3.43

Computed properties:
Magnetization in μB per cell: 0.00
DFT formation energy in meV per atom: 635.1
Calculated volume in A^3/atom: 30.941

---

The following is a GGA-PBEsol calculation of a geometry-optimized Ca2HfNbO structure, from Alexandria.

Unit cell a=6.0737 b=6.0737 c=3.8205 alpha=90.00 beta=90.00 gamma=90.00
With the nearest neighbours (Å) after each atom.
Positions (direct):
Ca  0.0000  0.5000  0.0000  2 Nb 3.04
Ca  0.5000  0.0000  0.0000  2 Nb 3.04
Hf  0.0000  0.0000  0.5000  8 Ca 3.59, 2 Hf 3.82
Nb  0.5000  0.5000  0.0000  2 O 1.91
O  0.5000  0.5000  0.5000  2 Nb 1.91

Computed properties:
Magnetization in μB per cell: 3.20
Calculated volume in A^3/atom: 28.187
Formation energy without anion corrections in eV/f.u.: 1.934

---

- Which of these has the lowest calculated volume?
  CaHfN2